First-principles (PBE) data for a relaxed SrU2CrS8 crystal, as listed in Alexandria via LeMat-Bulk.

a = 5.9115 Å, b = 8.1225 Å, c = 6.1839 Å
α = 90.00°, β = 92.72°, γ = 90.00°
Element x y z (fractional)
Sr (0.0000, 0.0000, 0.0000)
U (0.5000, 0.2598, 0.5000)
U (0.5000, 0.7402, 0.5000)
Cr (0.0000, 0.5000, 0.0000)
S (0.2325, 0.2954, 0.1717)
S (0.2325, 0.7046, 0.1717)
S (0.2686, 0.5000, 0.6725)
S (0.2818, 0.0000, 0.6304)
S (0.7182, 0.0000, 0.3696)
S (0.7314, 0.5000, 0.3275)
S (0.7675, 0.2954, 0.8283)
S (0.7675, 0.7046, 0.8283)

Summary:
- D(E_F): 3.94 states/eV/f.u.
- Space group: P2/m (10)
- Raw formation energy: -1.095 eV/atom
- E: -0.24512 Ha/atom
- Total magnetization: 4.0 Bohr magnetons per cell